Record 1
Dy2Ga6Ag3: optimized geometry, PBE.

Lattice parameters (Å, degrees): 7.7250 7.7250 3.8570 90.00 90.00 99.98
Element x y z (fractional)
1 Dy 0.1980 0.8020 0.0000
2 Dy 0.8020 0.1980 0.0000
3 Ga 0.1188 0.1188 0.5000
4 Ga 0.1486 0.4684 0.5000
5 Ga 0.4684 0.1486 0.5000
6 Ga 0.5316 0.8514 0.5000
7 Ga 0.8514 0.5316 0.5000
8 Ga 0.8812 0.8812 0.5000
9 Ag 0.2928 0.2928 0.0000
10 Ag 0.5000 0.5000 0.5000
11 Ag 0.7072 0.7072 0.0000

Calculated values
Calculated total energy = -3.463 eV/atom
V = 226.7 Å³ per cell
Total magnetization = 0.00 μB per formula unit
ΔE_f = -19.1 kJ per mole of atoms
Space group = Cmmm, No. 65
DOS at the Fermi energy = 2.54 states/eV/cell

=====

Record 2
Dy2Ga3Ag5: optimized geometry, PBE.

Lattice parameters (Å, degrees): 8.8629 8.8629 8.8629 98.74 93.65 141.66
Element x y z (fractional)
1 Dy 0.2332 0.1317 0.3649
2 Dy 0.2668 0.6317 0.8986
3 Dy 0.7332 0.3683 0.1014
4 Dy 0.7668 0.8683 0.6351
5 Ga 0.1371 0.8685 0.0056
6 Ga 0.2500 0.7500 0.5000
7 Ga 0.3629 0.3685 0.7314
8 Ga 0.6371 0.6315 0.2686
9 Ga 0.7500 0.2500 0.5000
10 Ga 0.8629 0.1315 0.9944
11 Ag 0.1538 0.3937 0.5476
12 Ag 0.2500 0.2500 0.0000
13 Ag 0.2500 0.5072 0.2572
14 Ag 0.2500 0.9928 0.7428
15 Ag 0.3462 0.8937 0.2399
16 Ag 0.6538 0.1063 0.7601
17 Ag 0.7500 0.0072 0.2572
18 Ag 0.7500 0.4928 0.7428
19 Ag 0.7500 0.7500 0.0000
20 Ag 0.8462 0.6063 0.4524

Calculated values
Calculated total energy = -3.517 eV/atom
V = 407.4 Å³ per cell
Total magnetization = 0.00 μB per formula unit
ΔE_f = -25.3 kJ per mole of atoms
Space group = Ibam, No. 72
DOS at the Fermi energy = 8.81 states/eV/cell

=====

Record 3
Dy5Ga3Ag12: optimized geometry, PBE.

Lattice parameters (Å, degrees): 14.0180 14.0180 14.0180 109.47 109.47 109.47
Element x y z (fractional)
1 Dy 0.0000 0.0000 0.0000
2 Dy 0.0000 0.0000 0.5000
3 Dy 0.0000 0.5000 0.0000
4 Dy 0.0000 0.5000 0.5000
5 Dy 0.1250 0.7500 0.8750
6 Dy 0.1250 0.8750 0.2500
7 Dy 0.2500 0.1250 0.8750
8 Dy 0.2500 0.6250 0.3750
9 Dy 0.3750 0.2500 0.6250
10 Dy 0.3750 0.6250 0.7500
11 Dy 0.5000 0.0000 0.0000
12 Dy 0.5000 0.0000 0.5000
13 Dy 0.5000 0.5000 0.0000
14 Dy 0.5000 0.5000 0.5000
15 Dy 0.6250 0.3750 0.2500
16 Dy 0.6250 0.7500 0.3750
17 Dy 0.7500 0.3750 0.6250
18 Dy 0.7500 0.8750 0.1250
19 Dy 0.8750 0.1250 0.7500
20 Dy 0.8750 0.2500 0.1250
21 Ga 0.1250 0.2500 0.3750
22 Ga 0.1250 0.3750 0.7500
23 Ga 0.2500 0.3750 0.1250
24 Ga 0.2500 0.8750 0.6250
25 Ga 0.3750 0.1250 0.2500
26 Ga 0.3750 0.7500 0.1250
27 Ga 0.6250 0.2500 0.8750
28 Ga 0.6250 0.8750 0.7500
29 Ga 0.7500 0.1250 0.3750
30 Ga 0.7500 0.6250 0.8750
31 Ga 0.8750 0.6250 0.2500
32 Ga 0.8750 0.7500 0.6250
33 Ag 0.0541 0.6366 0.3929
34 Ag 0.0541 0.9175 0.6612
35 Ag 0.0825 0.2437 0.1366
36 Ag 0.0825 0.3388 0.9459
37 Ag 0.1071 0.7437 0.6612
38 Ag 0.1071 0.8634 0.4459
39 Ag 0.1366 0.0825 0.2437
40 Ag 0.1366 0.5541 0.8929
41 Ag 0.1612 0.2437 0.6071
42 Ag 0.1612 0.4175 0.5541
43 Ag 0.2437 0.1366 0.0825
44 Ag 0.2437 0.6071 0.1612
45 Ag 0.2563 0.3388 0.8929
46 Ag 0.2563 0.4175 0.3634
47 Ag 0.3388 0.8929 0.2563
48 Ag 0.3388 0.9459 0.0825
49 Ag 0.3634 0.2563 0.4175
50 Ag 0.3634 0.6071 0.9459
51 Ag 0.3929 0.0541 0.6366
52 Ag 0.3929 0.8388 0.7563
53 Ag 0.4175 0.3634 0.2563
54 Ag 0.4175 0.5541 0.1612
55 Ag 0.4459 0.1071 0.8634
56 Ag 0.4459 0.8388 0.5825
57 Ag 0.5541 0.1612 0.4175
58 Ag 0.5541 0.8929 0.1366
59 Ag 0.5825 0.4459 0.8388
60 Ag 0.5825 0.6366 0.7437
61 Ag 0.6071 0.1612 0.2437
62 Ag 0.6071 0.9459 0.3634
63 Ag 0.6366 0.3929 0.0541
64 Ag 0.6366 0.7437 0.5825
65 Ag 0.6612 0.0541 0.9175
66 Ag 0.6612 0.1071 0.7437
67 Ag 0.7437 0.5825 0.6366
68 Ag 0.7437 0.6612 0.1071
69 Ag 0.7563 0.3929 0.8388
70 Ag 0.7563 0.8634 0.9175
71 Ag 0.8388 0.5825 0.4459
72 Ag 0.8388 0.7563 0.3929
73 Ag 0.8634 0.4459 0.1071
74 Ag 0.8634 0.9175 0.7563
75 Ag 0.8929 0.1366 0.5541
76 Ag 0.8929 0.2563 0.3388
77 Ag 0.9175 0.6612 0.0541
78 Ag 0.9175 0.7563 0.8634
79 Ag 0.9459 0.0825 0.3388
80 Ag 0.9459 0.3634 0.6071

Calculated values
Calculated total energy = -3.026 eV/atom
V = 2120.5 Å³ per cell
Total magnetization = 0.00 μB per formula unit
ΔE_f = 28.0 kJ per mole of atoms
Space group = Ia-3d, No. 230
DOS at the Fermi energy = 38.55 states/eV/cell

=====

Record 4
DyGaAg: optimized geometry, PBE.

Lattice parameters (Å, degrees): 6.0033 6.0033 6.0033 147.23 147.23 47.02
Element x y z (fractional)
1 Dy 0.0000 0.0000 0.0000
2 Ga 0.6769 0.6769 0.0000
3 Ag 0.3113 0.3113 0.0000

Calculated values
Calculated total energy = -3.778 eV/atom
V = 63.2 Å³ per cell
Total magnetization = 0.15 μB per formula unit
ΔE_f = -27.5 kJ per mole of atoms
Space group = I4mm, No. 107
DOS at the Fermi energy = 2.56 states/eV/cell

=====

Record 5
DyGa3Ag3: optimized geometry, PBE.

Lattice parameters (Å, degrees): 6.5980 4.3213 9.6330 90.00 104.73 90.00
Element x y z (fractional)
1 Dy 0.2369 0.2500 0.1101
2 Dy 0.7631 0.7500 0.8899
3 Ga 0.2229 0.7500 0.8966
4 Ga 0.4034 0.7500 0.3842
5 Ga 0.4379 0.2500 0.8430
6 Ga 0.5621 0.7500 0.1570
7 Ga 0.5966 0.2500 0.6158
8 Ga 0.7771 0.2500 0.1034
9 Ag 0.0138 0.2500 0.7412
10 Ag 0.1451 0.2500 0.4518
11 Ag 0.3254 0.7500 0.6448
12 Ag 0.6746 0.2500 0.3552
13 Ag 0.8549 0.7500 0.5482
14 Ag 0.9862 0.7500 0.2588

Calculated values
Calculated total energy = -3.414 eV/atom
V = 265.6 Å³ per cell
Total magnetization = 0.00 μB per formula unit
ΔE_f = -22.9 kJ per mole of atoms
Space group = P2_1/m, No. 11
DOS at the Fermi energy = 4.64 states/eV/cell

=====

Record 6
DyGaAg: optimized geometry, PBE.

Lattice parameters (Å, degrees): 6.4889 6.4889 6.4889 32.60 32.60 32.60
Element x y z (fractional)
1 Dy 0.0000 0.0000 0.0000
2 Ga 0.2140 0.2140 0.2140
3 Ag 0.7894 0.7894 0.7894

Calculated values
Calculated total energy = -3.594 eV/atom
V = 70.5 Å³ per cell
Total magnetization = 0.00 μB per formula unit
ΔE_f = -9.8 kJ per mole of atoms
Space group = R3m, No. 160
DOS at the Fermi energy = 2.49 states/eV/cell

=====

Record 7
Dy3Ga3Ag: optimized geometry, PBE.

Lattice parameters (Å, degrees): 5.8419 5.8419 14.2599 108.49 108.49 44.41
Element x y z (fractional)
1 Dy 0.0330 0.0330 0.3795
2 Dy 0.1050 0.1050 0.9245
3 Dy 0.2365 0.2365 0.2233
4 Dy 0.7635 0.7635 0.7767
5 Dy 0.8950 0.8950 0.0755
6 Dy 0.9670 0.9670 0.6205
7 Ga 0.3759 0.3759 0.4536
8 Ga 0.3900 0.3900 0.9252
9 Ga 0.4761 0.4761 0.7726
10 Ga 0.5239 0.5239 0.2274
11 Ga 0.6100 0.6100 0.0748
12 Ga 0.6241 0.6241 0.5464
13 Ag 0.2562 0.2562 0.6055
14 Ag 0.7438 0.7438 0.3945

Calculated values
Calculated total energy = -4.241 eV/atom
V = 319.9 Å³ per cell
Total magnetization = 0.00 μB per formula unit
ΔE_f = -54.4 kJ per mole of atoms
Space group = C2/m, No. 12
DOS at the Fermi energy = 8.27 states/eV/cell

=====

Record 8
DyGa6Ag12: optimized geometry, PBE.

Lattice parameters (Å, degrees): 7.5255 7.5255 7.5255 105.53 105.53 105.53
Element x y z (fractional)
1 Dy 0.0000 0.0000 0.0000
2 Ga 0.2785 0.2785 0.7032
3 Ga 0.2785 0.7032 0.2785
4 Ga 0.2968 0.7215 0.7215
5 Ga 0.7032 0.2785 0.2785
6 Ga 0.7215 0.2968 0.7215
7 Ga 0.7215 0.7215 0.2968
8 Ag 0.1168 0.5000 0.8832
9 Ag 0.1168 0.8832 0.5000
10 Ag 0.1382 0.3814 0.3814
11 Ag 0.3814 0.1382 0.3814
12 Ag 0.3814 0.3814 0.1382
13 Ag 0.5000 0.1168 0.8832
14 Ag 0.5000 0.8832 0.1168
15 Ag 0.6186 0.6186 0.8618
16 Ag 0.6186 0.8618 0.6186
17 Ag 0.8618 0.6186 0.6186
18 Ag 0.8832 0.1168 0.5000
19 Ag 0.8832 0.5000 0.1168

Calculated values
Calculated total energy = -2.971 eV/atom
V = 368.3 Å³ per cell
Total magnetization = 0.00 μB per formula unit
ΔE_f = 2.7 kJ per mole of atoms
Space group = R-3m, No. 166
DOS at the Fermi energy = 3.93 states/eV/cell

=====

Record 9
Dy3Ga7Ag2: optimized geometry, PBE.

Lattice parameters (Å, degrees): 4.2327 4.2216 13.8047 90.00 98.68 90.00
Element x y z (fractional)
1 Dy 0.0000 0.0000 0.0000
2 Dy 0.3128 0.5000 0.6264
3 Dy 0.6872 0.5000 0.3736
4 Ga 0.0791 0.5000 0.1575
5 Ga 0.2272 0.0000 0.4535
6 Ga 0.4202 0.0000 0.8418
7 Ga 0.5000 0.5000 0.0000
8 Ga 0.5798 0.0000 0.1582
9 Ga 0.7728 0.0000 0.5465
10 Ga 0.9209 0.5000 0.8425
11 Ag 0.1347 0.0000 0.2698
12 Ag 0.8653 0.0000 0.7302

Calculated values
Calculated total energy = -3.829 eV/atom
V = 243.8 Å³ per cell
Total magnetization = 0.00 μB per formula unit
ΔE_f = -42.2 kJ per mole of atoms
Space group = P2/m, No. 10
DOS at the Fermi energy = 5.53 states/eV/cell

=====

Record 10
Dy4GaAgHg2: optimized geometry, PBE.

Lattice parameters (Å, degrees): 9.0011 9.0011 9.0011 33.48 33.48 33.48
Element x y z (fractional)
1 Dy 0.1232 0.1232 0.1232
2 Dy 0.3732 0.3732 0.3732
3 Dy 0.6268 0.6268 0.6268
4 Dy 0.8768 0.8768 0.8768
5 Ga 0.0000 0.0000 0.0000
6 Ag 0.5000 0.5000 0.5000
7 Hg 0.2479 0.2479 0.2479
8 Hg 0.7521 0.7521 0.7521

Calculated values
Calculated total energy = -3.566 eV/atom
V = 197.6 Å³ per cell
Total magnetization = 0.00 μB per formula unit
ΔE_f = -43.8 kJ per mole of atoms
Space group = R-3m, No. 166
DOS at the Fermi energy = 6.76 states/eV/cell

=====

Record 11
DyGaAgHg: optimized geometry, PBE.

Lattice parameters (Å, degrees): 4.9247 4.9247 4.9247 60.00 60.00 60.00
Element x y z (fractional)
1 Dy 0.0000 0.0000 0.0000
2 Ga 0.2500 0.2500 0.2500
3 Ag 0.5000 0.5000 0.5000
4 Hg 0.7500 0.7500 0.7500

Calculated values
Calculated total energy = -3.023 eV/atom
V = 84.5 Å³ per cell
Total magnetization = 0.00 μB per formula unit
ΔE_f = -31.6 kJ per mole of atoms
Space group = F-43m, No. 216
DOS at the Fermi energy = 3.24 states/eV/cell

=====

Record 12
DyHoGaAg: optimized geometry, PBE.

Lattice parameters (Å, degrees): 5.1002 5.1002 5.1002 60.00 60.00 60.00
Element x y z (fractional)
1 Dy 0.0000 0.0000 0.0000
2 Ho 0.5000 0.5000 0.5000
3 Ga 0.2500 0.2500 0.2500
4 Ag 0.7500 0.7500 0.7500

Calculated values
Calculated total energy = -4.227 eV/atom
V = 93.8 Å³ per cell
Total magnetization = 0.00 μB per formula unit
ΔE_f = -44.6 kJ per mole of atoms
Space group = F-43m, No. 216
DOS at the Fermi energy = 2.95 states/eV/cell

=====

Record 13
DyInGaAg: optimized geometry, PBE.

Lattice parameters (Å, degrees): 4.9648 4.9648 4.9648 60.00 60.00 60.00
Element x y z (fractional)
1 Dy 0.0000 0.0000 0.0000
2 In 0.5000 0.5000 0.5000
3 Ga 0.2500 0.2500 0.2500
4 Ag 0.7500 0.7500 0.7500

Calculated values
Calculated total energy = -3.644 eV/atom
V = 86.5 Å³ per cell
Total magnetization = 0.00 μB per formula unit
ΔE_f = -32.7 kJ per mole of atoms
Space group = F-43m, No. 216
DOS at the Fermi energy = 1.11 states/eV/cell

=====

Record 14
Dy4InGaAg2: optimized geometry, PBE.

Lattice parameters (Å, degrees): 8.9544 8.9544 8.9544 33.66 33.66 33.66
Element x y z (fractional)
1 Dy 0.1209 0.1209 0.1209
2 Dy 0.3712 0.3712 0.3712
3 Dy 0.6288 0.6288 0.6288
4 Dy 0.8791 0.8791 0.8791
5 In 0.5000 0.5000 0.5000
6 Ga 0.0000 0.0000 0.0000
7 Ag 0.2461 0.2461 0.2461
8 Ag 0.7539 0.7539 0.7539

Calculated values
Calculated total energy = -4.166 eV/atom
V = 196.5 Å³ per cell
Total magnetization = 0.00 μB per formula unit
ΔE_f = -41.6 kJ per mole of atoms
Space group = R-3m, No. 166
DOS at the Fermi energy = 5.44 states/eV/cell

=====

Record 15
LaDyGaAg: optimized geometry, PBE.

Lattice parameters (Å, degrees): 5.2590 5.2590 5.2590 60.00 60.00 60.00
Element x y z (fractional)
1 La 0.0000 0.0000 0.0000
2 Dy 0.5000 0.5000 0.5000
3 Ga 0.2500 0.2500 0.2500
4 Ag 0.7500 0.7500 0.7500

Calculated values
Calculated total energy = -4.270 eV/atom
V = 102.8 Å³ per cell
Total magnetization = 0.00 μB per formula unit
ΔE_f = -40.4 kJ per mole of atoms
Space group = F-43m, No. 216
DOS at the Fermi energy = 3.75 states/eV/cell

=====

Record 16
LaDy2Ga2Ag2: optimized geometry, PBE.

Lattice parameters (Å, degrees): 9.4476 9.4476 9.4476 28.69 28.69 28.69
Element x y z (fractional)
1 La 0.0000 0.0000 0.0000
2 Dy 0.1275 0.1275 0.1275
3 Dy 0.8725 0.8725 0.8725
4 Ga 0.2531 0.2531 0.2531
5 Ga 0.7469 0.7469 0.7469
6 Ag 0.4080 0.4080 0.4080
7 Ag 0.5920 0.5920 0.5920

Calculated values
Calculated total energy = -4.098 eV/atom
V = 171.8 Å³ per cell
Total magnetization = 0.00 μB per formula unit
ΔE_f = -38.6 kJ per mole of atoms
Space group = R-3m, No. 166
DOS at the Fermi energy = 3.82 states/eV/cell

=====

Record 17
Li2DyGa2Ag2: optimized geometry, PBE.

Lattice parameters (Å, degrees): 4.6053 4.6053 7.4976 106.66 106.66 59.17
Element x y z (fractional)
1 Li 0.1398 0.1398 0.4291
2 Li 0.8602 0.8602 0.5709
3 Dy 0.0000 0.0000 0.0000
4 Ga 0.4241 0.4241 0.2757
5 Ga 0.5759 0.5759 0.7243
6 Ag 0.2648 0.2648 0.7879
7 Ag 0.7352 0.7352 0.2121

Calculated values
Calculated total energy = -3.216 eV/atom
V = 128.9 Å³ per cell
Total magnetization = 0.00 μB per formula unit
ΔE_f = -32.1 kJ per mole of atoms
Space group = C2/m, No. 12
DOS at the Fermi energy = 2.50 states/eV/cell

=====

Record 18
DyMgGaAg: optimized geometry, PBE.

Lattice parameters (Å, degrees): 4.9011 4.9011 4.9011 60.00 60.00 60.00
Element x y z (fractional)
1 Dy 0.0000 0.0000 0.0000
2 Mg 0.5000 0.5000 0.5000
3 Ga 0.7500 0.7500 0.7500
4 Ag 0.2500 0.2500 0.2500

Calculated values
Calculated total energy = -3.431 eV/atom
V = 83.2 Å³ per cell
Total magnetization = 0.00 μB per formula unit
ΔE_f = -39.8 kJ per mole of atoms
Space group = F-43m, No. 216
DOS at the Fermi energy = 2.32 states/eV/cell

=====

Record 19
NaDyGaAg: optimized geometry, PBE.

Lattice parameters (Å, degrees): 5.0187 5.0187 5.0187 60.00 60.00 60.00
Element x y z (fractional)
1 Na 0.0000 0.0000 0.0000
2 Dy 0.5000 0.5000 0.5000
3 Ga 0.7500 0.7500 0.7500
4 Ag 0.2500 0.2500 0.2500

Calculated values
Calculated total energy = -3.138 eV/atom
V = 89.4 Å³ per cell
Total magnetization = 0.00 μB per formula unit
ΔE_f = -18.2 kJ per mole of atoms
Space group = F-43m, No. 216
DOS at the Fermi energy = 2.85 states/eV/cell

=====

Record 20
NdDyGaAg: optimized geometry, PBE.

Lattice parameters (Å, degrees): 5.2014 5.2014 5.2014 60.00 60.00 60.00
Element x y z (fractional)
1 Nd 0.0000 0.0000 0.0000
2 Dy 0.5000 0.5000 0.5000
3 Ga 0.7500 0.7500 0.7500
4 Ag 0.2500 0.2500 0.2500

Calculated values
Calculated total energy = -4.236 eV/atom
V = 99.5 Å³ per cell
Total magnetization = 0.01 μB per formula unit
ΔE_f = -41.0 kJ per mole of atoms
Space group = F-43m, No. 216
DOS at the Fermi energy = 3.74 states/eV/cell